Entry 1:
Ba2In5Au12: relaxed, GGA-PBE.

```
Ba2In5Au12
1.0
-0.259 1.752 7.358
7.216 -1.839 1.353
2.639 7.033 -0.920
Ba In Au
2 5 12
direct
0.647 0.647 0.647
0.353 0.353 0.353
0.000 0.000 0.500
0.000 0.500 0.000
0.500 0.000 0.000
0.903 0.903 0.903
0.097 0.097 0.097
0.317 0.683 0.000
0.683 0.000 0.317
0.000 0.317 0.683
0.683 0.317 0.000
0.317 0.000 0.683
0.000 0.683 0.317
0.340 0.340 0.852
0.340 0.852 0.340
0.852 0.340 0.340
0.660 0.148 0.660
0.660 0.660 0.148
0.148 0.660 0.660
```

Properties
Raw total energy   -3.302 eV per atom
Crystal system   trigonal
Total magnetic moment   0.000 μB per cell



Entry 2:
BaIn2Au: relaxed, GGA-PBE.

```
BaIn2Au
1.0
-6.468 -0.475 -2.287
-2.130 -4.672 -4.575
3.598 0.538 5.836
Au Ba In
1 1 2
direct
0.250 0.750 0.500
0.750 0.250 0.500
0.000 0.000 0.000
0.500 0.500 0.000
```

Properties
Raw total energy   -2.912 eV per atom
Crystal system   tetragonal
Total magnetic moment   0.000 μB per cell



Entry 3:
BaIn4Au3: relaxed, GGA-PBE.

```
BaIn4Au3
1.0
-1.008 -2.083 4.094
-1.255 -3.907 -2.297
8.876 -3.184 0.565
Au Ba In
3 1 4
direct
0.000 0.000 0.000
0.500 0.500 0.352
0.500 0.500 0.648
0.000 0.000 0.500
0.500 0.000 0.175
0.000 0.500 0.175
0.500 0.000 0.825
0.000 0.500 0.825
```

Properties
Raw total energy   -3.290 eV per atom
Crystal system   tetragonal
Total magnetic moment   0.000 μB per cell



Entry 4:
BaIn4Au6: relaxed, GGA-PBE.

```
BaIn4Au6
1.0
-1.589 3.355 -2.911
6.719 -0.393 -4.120
-6.107 -4.596 -1.963
Ba In Au
1 4 6
direct
0.000 0.333 0.667
0.500 0.609 0.542
0.500 0.932 0.391
0.000 0.000 0.000
0.500 0.458 0.068
0.500 0.064 0.800
0.500 0.200 0.264
0.000 0.841 0.574
0.000 0.426 0.267
0.000 0.733 0.159
0.500 0.736 0.936
```

Properties
Raw total energy   -3.316 eV per atom
Crystal system   hexagonal
Total magnetic moment   0.000 μB per cell



Entry 5:
BaInAu11: relaxed, GGA-PBE.

```
BaInAu11
1.0
5.236 -0.086 2.181
2.459 7.216 1.025
0.103 -0.043 7.126
Ba In Au
1 1 11
direct
0.000 0.000 0.000
0.500 0.500 0.000
0.293 0.220 0.219
0.707 0.780 0.781
0.487 0.780 0.219
0.513 0.220 0.781
0.327 0.653 0.640
0.673 0.347 0.360
0.033 0.347 0.640
0.967 0.653 0.360
0.000 0.500 0.000
0.500 0.000 0.500
0.000 0.000 0.500
```

Properties
Raw total energy   -3.350 eV per atom
Crystal system   monoclinic
Total magnetic moment   0.000 μB per cell



Entry 6:
Ba4InAu3: relaxed, GGA-PBE.

```
Ba4InAu3
1.0
4.617 0.000 0.000
0.000 5.058 0.000
0.000 0.000 12.435
Au Ba In
3 4 1
direct
0.000 0.500 0.576
0.000 0.000 0.427
0.500 0.000 0.931
0.500 0.500 0.371
0.000 0.500 0.851
0.000 0.000 0.144
0.500 0.000 0.634
0.500 0.500 0.066
```

Properties
Raw total energy   -3.149 eV per atom
Crystal system   orthorhombic
Total magnetic moment   0.000 μB per cell



Entry 7:
Ba2In2Au15: relaxed, GGA-PBE.

```
Ba2In2Au15
1.0
-0.960 -4.539 5.878
5.622 -4.707 -1.521
5.107 3.163 4.471
Ba In Au
2 2 15
direct
0.347 0.347 0.347
0.653 0.653 0.653
0.100 0.100 0.100
0.900 0.900 0.900
0.500 0.000 0.000
0.000 0.000 0.500
0.000 0.500 0.000
0.000 0.692 0.308
0.692 0.308 0.000
0.308 0.000 0.692
0.308 0.692 0.000
0.692 0.000 0.308
0.000 0.308 0.692
0.158 0.652 0.652
0.652 0.652 0.158
0.652 0.158 0.652
0.842 0.348 0.348
0.348 0.348 0.842
0.348 0.842 0.348
```

Properties
Raw total energy   -3.376 eV per atom
Crystal system   trigonal
Total magnetic moment   0.000 μB per cell



Entry 8:
BaInAu4: relaxed, GGA-PBE.

```
BaInAu4
1.0
6.307 0.109 1.976
1.282 7.218 1.718
0.102 0.109 6.609
Ba In Au
2 2 8
direct
0.186 0.229 0.186
0.814 0.771 0.814
0.388 0.725 0.388
0.612 0.275 0.612
0.118 0.832 0.118
0.835 0.586 0.386
0.682 0.000 0.318
0.614 0.414 0.165
0.882 0.168 0.882
0.165 0.414 0.614
0.318 0.000 0.682
0.386 0.586 0.835
```

Properties
Raw total energy   -3.404 eV per atom
Distance to the lowest polymorph of the same formula   0 meV per atom
Crystal system   monoclinic
Total magnetic moment   0.000 μB per cell



Entry 9:
Ba2InAu: relaxed, GGA-PBE.

```
Ba2InAu
1.0
-6.508 -5.606 -2.151
-2.327 -7.633 -3.839
-3.531 -8.066 0.936
Au Ba In
1 2 1
direct
0.792 0.792 0.792
0.041 0.041 0.041
0.209 0.209 0.209
0.459 0.459 0.459
```

Properties
Raw total energy   -2.959 eV per atom
Crystal system   trigonal
Total magnetic moment   0.000 μB per cell



Entry 10:
Ba2InAu: relaxed, GGA-PBE.

```
Ba2InAu
1.0
-4.237 3.972 2.980
-6.037 -2.427 0.527
5.988 -2.210 1.371
Au Ba In
1 2 1
direct
0.750 0.250 0.500
0.000 0.000 0.000
0.250 0.750 0.500
0.500 0.500 0.000
```

Properties
Raw total energy   -2.803 eV per atom
Crystal system   tetragonal
Total magnetic moment   0.000 μB per cell



Entry 11:
BaIn4Au12: relaxed, GGA-PBE.

```
BaIn4Au12
1.0
8.207 0.000 0.000
-2.736 7.738 0.000
-2.736 -3.869 6.701
Ba In Au
1 4 12
direct
0.000 0.000 0.000
0.000 0.500 0.000
0.500 0.000 0.000
0.500 0.500 0.500
0.000 0.000 0.500
0.854 0.353 0.207
0.353 0.499 0.146
0.793 0.146 0.647
0.353 0.207 0.854
0.207 0.854 0.353
0.647 0.501 0.854
0.499 0.146 0.353
0.501 0.854 0.647
0.647 0.793 0.146
0.854 0.647 0.501
0.146 0.353 0.499
0.146 0.647 0.793
```

Properties
Raw total energy   -3.099 eV per atom
Crystal system   cubic
Total magnetic moment   0.000 μB per cell



Entry 12:
Ba2In3Au5: relaxed, GGA-PBE.

```
Ba2In3Au5
1.0
6.574 0.023 2.424
3.627 8.755 0.329
0.293 -0.596 9.459
Ba In Au
4 6 10
direct
0.270 0.861 0.600
0.230 0.400 0.139
0.730 0.139 0.400
0.770 0.600 0.861
0.101 0.259 0.540
0.399 0.460 0.741
0.899 0.741 0.460
0.601 0.540 0.259
0.250 0.000 0.000
0.750 0.000 0.000
0.341 0.050 0.265
0.159 0.735 0.950
0.659 0.950 0.735
0.841 0.265 0.050
0.250 0.219 0.781
0.750 0.781 0.219
0.250 0.499 0.501
0.750 0.501 0.499
0.250 0.782 0.218
0.750 0.218 0.782
```

Properties
Raw total energy   -3.387 eV per atom
Distance to the lowest polymorph of the same formula   0 meV per atom
Crystal system   monoclinic
Total magnetic moment   0.000 μB per cell



- Which value of total magnetic moment does entry 11 give?
  0.000 μB per cell



- Which of these has the highest raw total energy?
  number 10



- Look up the total magnetic moment of the first one.
  0.000 μB per cell



- Which value of raw total energy does entry 3 give?
  -3.290 eV per atom